1.
Crystalline Ag4GeAu8 at its relaxed geometry. Source: Alexandria, functional PBE.

Results
The theoretical density is 13.88 g/cm³. The energy comes out at -42.12 eV per cell.

Geometry as CIF:
```
data_Ag4GeAu8
_chemical_formula_sum 'Ag4 Ge1 Au8'
_cell_length_a 4.1121
_cell_length_b 4.1506
_cell_length_c 14.5738
_cell_angle_alpha 90.00
_cell_angle_beta 90.00
_cell_angle_gamma 90.00
_symmetry_space_group_name_H-M 'P 1'
_symmetry_Int_Tables_number 1
_symmetry_space_group_name_Hall 'P 1'
loop_
_atom_site_label
_atom_site_type_symbol
_atom_site_fract_x
_atom_site_fract_y
_atom_site_fract_z
Ag1 Ag 0.0000 0.5000 0.6159
Au1 Au 0.5000 0.0000 0.6154
Au2 Au 0.0000 0.5000 0.9051
Ag2 Ag 0.5000 0.5000 0.4678
Ge1 Ge 0.0000 0.0000 0.3068
Au3 Au 0.5000 0.5000 0.7614
Au4 Au 0.0000 0.5000 0.1984
Au5 Au 0.5000 0.0000 0.1956
Au6 Au 0.0000 0.0000 0.4757
Au7 Au 0.5000 0.5000 0.0475
Au8 Au 0.0000 0.0000 0.7596
Ag3 Ag 0.0000 0.0000 0.0489
Ag4 Ag 0.5000 0.0000 0.9046
```

=====

2.
Crystalline Li2BeAl at its relaxed geometry. Source: Alexandria, functional PBE.

Results
The energy above the most stable polymorph in this dataset is 94.8 meV/atom. The theoretical density is 1.53 g/cm³. The energy comes out at -11.05 eV per cell.

Geometry as CIF:
```
data_Li2BeAl
_chemical_formula_sum 'Li2 Be1 Al1'
_cell_length_a 4.0673
_cell_length_b 2.5691
_cell_length_c 5.2799
_cell_angle_alpha 79.35
_cell_angle_beta 90.00
_cell_angle_gamma 90.00
_symmetry_space_group_name_H-M 'P 1'
_symmetry_Int_Tables_number 1
_symmetry_space_group_name_Hall 'P 1'
loop_
_atom_site_label
_atom_site_type_symbol
_atom_site_fract_x
_atom_site_fract_y
_atom_site_fract_z
Li1 Li 0.0000 0.0166 0.9966
Be1 Be 0.5000 0.7898 0.7394
Li2 Li 0.5000 0.2006 0.2439
Al1 Al 0.0000 0.4930 0.5200
```

=====

Q: theoretical density of number 2 (Li2BeAl)?
A: 1.53 g/cm³